(1)
Computed, not measured: crystalline MnSb2As at its relaxed geometry at the GGA-PBE level of DFT.

Cell and atoms, written as extended XYZ:
```
4
Lattice="3.733 0.000 0.000 0.000 5.235 0.000 0.000 0.000 4.626" Properties=species:S:1:pos:R:3 pbc="T T T"
Sb 0.000 0.000 0.000
Sb 1.866 2.617 0.000
As 1.866 0.000 2.313
Mn 0.000 2.617 2.313
```

Properties
The density of states at the Fermi level is 2.5 states/eV/f.u. As for the symmetry: Pmmm (47). The calculation puts the theoretical density at 6.9 g cm⁻³. The value obtained for the total energy is -5.1334 eV per atom. The uncorrected formation energy is 0.383 eV per atom. For the total magnetization, the calculation gives 4.06 μB per formula unit.


(2)
Computed, not measured: crystalline SrCd2Rh2 at its relaxed geometry at the GGA-PBE level of DFT.

Cell and atoms, written as extended XYZ:
```
5
Lattice="-0.505 4.024 1.861 -1.021 -1.928 3.892 4.732 1.066 4.328" Properties=species:S:1:pos:R:3 pbc="T T T"
Sr 0.000 0.000 0.000
Cd 1.732 3.069 4.532
Cd 1.473 0.093 5.548
Rh 0.430 1.052 3.191
Rh 2.775 2.110 6.889
```

Properties
The density of states at the Fermi level is 3.1 states/eV/f.u. As for the symmetry: I4/mmm (139). The calculation puts the formation energy at -188 meV/atom. The calculation puts the theoretical density at 7.6 g cm⁻³. The value obtained for the total energy is -3.8306 eV per atom. The energy above the most stable polymorph in this dataset comes out at 0.000 eV per atom. For the total magnetization, the calculation gives 0.00 μB per formula unit.


(3)
Computed, not measured: crystalline RbTlMoS4 at its relaxed geometry at the GGA-PBE level of DFT.

Cell and atoms, written as extended XYZ:
```
14
Lattice="-6.801 2.157 0.865 1.365 -7.009 -0.820 0.980 -1.003 10.210" Properties=species:S:1:pos:R:3 pbc="T T T"
S -4.187 -0.721 6.332
S -0.268 -5.134 3.923
S -0.249 -2.369 7.593
S -1.472 -1.045 2.639
S -0.608 -4.787 0.388
S -4.207 -3.486 2.662
S -3.848 -1.068 9.867
S -2.984 -4.810 7.616
Mo 0.401 -5.902 1.982
Mo -4.857 0.047 8.273
Tl -2.718 -2.426 0.023
Tl -2.228 -2.927 5.128
Rb 0.525 -5.992 7.163
Rb -4.980 0.137 3.092
```

Properties
As for the symmetry: Cmcm (63). The calculation puts the theoretical density at 3.7 g cm⁻³. The value obtained for the total energy is -5.0829 eV per atom. The uncorrected formation energy is -0.701 eV per atom. For the total magnetization, the calculation gives 0.00 μB per formula unit.


(4)
Computed, not measured: crystalline CdInBPd2 at its relaxed geometry at the GGA-PBE level of DFT.

Cell and atoms, written as extended XYZ:
```
5
Lattice="5.069 0.000 0.000 0.000 4.101 0.000 0.000 0.000 5.069" Properties=species:S:1:pos:R:3 pbc="T T T"
B 0.000 2.050 0.000
Cd 0.000 0.000 0.000
In 2.535 2.050 2.535
Pd 0.000 0.000 2.535
Pd 2.535 0.000 0.000
```

Properties
The density of states at the Fermi level is 2.6 states/eV/f.u. As for the symmetry: P4/mmm (123). The calculation puts the formation energy at 945 meV/atom. The calculation puts the theoretical density at 7.1 g cm⁻³. The value obtained for the total energy is -3.1983 eV per atom. For the total magnetization, the calculation gives 0.00 μB per formula unit.


(5)
Computed, not measured: crystalline Co2TcW at its relaxed geometry at the GGA-PBE level of DFT.

Cell and atoms, written as extended XYZ:
```
4
Lattice="3.712 0.000 0.000 0.000 3.713 0.000 0.000 0.000 3.713" Properties=species:S:1:pos:R:3 pbc="T T T"
Tc 1.856 0.000 1.856
Co 0.000 0.000 0.000
Co 1.856 1.857 0.000
W 0.000 1.857 1.856
```

Properties
The density of states at the Fermi level is 4.4 states/eV/f.u. As for the symmetry: P4/mmm (123). The calculation puts the formation energy at 5 meV/atom. The calculation puts the theoretical density at 13.0 g cm⁻³. The value obtained for the total energy is -9.3776 eV per atom. The energy above the most stable polymorph in this dataset comes out at 0.033 eV per atom. For the total magnetization, the calculation gives 0.04 μB per formula unit.


(6)
Computed, not measured: crystalline La4AsW at its relaxed geometry at the GGA-PBE level of DFT.

Cell and atoms, written as extended XYZ:
```
6
Lattice="0.000 4.383 4.383 4.383 0.000 4.383 4.383 4.383 0.000" Properties=species:S:1:pos:R:3 pbc="T T T"
La 5.470 3.295 5.470
La 3.295 3.295 3.295
La 5.470 5.470 3.295
La 3.295 5.470 5.470
W 6.574 6.574 6.574
As 0.000 0.000 0.000
```

Properties
The density of states at the Fermi level is 7.0 states/eV/f.u. As for the symmetry: F-43m (216). The calculation puts the formation energy at 790 meV/atom. The calculation puts the theoretical density at 8.0 g cm⁻³. The value obtained for the total energy is -5.4289 eV per atom. For the total magnetization, the calculation gives 0.00 μB per formula unit.


(7)
Computed, not measured: crystalline YLu2Tc at its relaxed geometry at the GGA-PBE level of DFT.

Cell and atoms, written as extended XYZ:
```
4
Lattice="3.408 0.000 0.000 0.000 3.408 0.000 0.000 0.000 8.741" Properties=species:S:1:pos:R:3 pbc="T T T"
Tc 1.704 1.704 0.000
Lu 0.000 0.000 7.137
Lu 0.000 0.000 1.603
Y 1.704 1.704 4.370
```

Properties
The density of states at the Fermi level is 6.0 states/eV/f.u. As for the symmetry: P4/mmm (123). The calculation puts the formation energy at -46 meV/atom. The calculation puts the theoretical density at 8.8 g cm⁻³. The value obtained for the total energy is -6.5136 eV per atom. For the total magnetization, the calculation gives 0.00 μB per formula unit.


(8)
Computed, not measured: crystalline Tm3InSn2 at its relaxed geometry at the GGA-PBE level of DFT.

Cell and atoms, written as extended XYZ:
```
12
Lattice="6.246 0.000 0.000 0.000 6.269 -0.052 -3.123 -1.610 8.005" Properties=species:S:1:pos:R:3 pbc="T T T"
Sn 0.702 1.645 5.379
Sn 3.825 -0.121 2.600
Sn 2.421 3.014 2.574
Sn -0.702 4.779 5.353
Tm 2.397 4.633 5.233
Tm 3.897 1.567 -0.013
Tm 2.349 4.702 -0.039
Tm 0.726 0.026 2.720
Tm -0.726 3.160 2.694
Tm 3.849 1.498 5.259
In 0.739 1.567 -0.013
In 5.506 4.702 -0.039
```

Properties
The density of states at the Fermi level is 4.8 states/eV/f.u. As for the symmetry: C2/c (15). The calculation puts the formation energy at -524 meV/atom. The calculation puts the theoretical density at 9.1 g cm⁻³. The value obtained for the total energy is -4.5502 eV per atom. For the total magnetization, the calculation gives 0.00 μB per formula unit.